DFT (PBEsol) results for a relaxed structure of BaReRh.

Geometry as extended XYZ:
```
3
Lattice="-2.4276 -1.6582 0.3414 0.8186 -2.0848 -4.3050 1.8878 -1.9338 4.0306" Properties=species:S:1:pos:R:3 pbc="T T T"
Ba 0.0000 0.0000 0.0000
Re 0.3176 -2.8132 1.4228
Rh -0.0388 -2.8636 -1.3557
```

calculated volume = 20.1 A^3/atom
SG = P-6m2 (187)
total DFT energy (no corrections) = -6.667 eV/atom

DFT (PBEsol) results for a relaxed structure of BaPS2Cl.

Geometry as extended XYZ:
```
5
Lattice="-0.7065 -2.5470 5.3643 5.9015 0.2991 0.9192 -0.7229 5.9189 2.7152" Properties=species:S:1:pos:R:3 pbc="T T T"
P -0.3615 2.9595 1.3576
S 2.9507 0.1495 0.4596
S -0.3532 -1.2735 2.6821
Ba 0.0000 0.0000 0.0000
Cl 2.2360 1.8355 4.4993
```

calculated volume = 46.9 A^3/atom
SG = P4/mmm (123)
formation energy without anion corrections = 0.9117 eV/atom

DFT (PBEsol) results for a relaxed structure of FeSb.

Geometry as extended XYZ:
```
4
Lattice="3.9425 0.0000 0.0000 -1.9712 3.4143 0.0000 0.0000 0.0000 4.9451" Properties=species:S:1:pos:R:3 pbc="T T T"
Sb 0.0000 2.2762 3.7088
Sb 1.9712 1.1381 1.2363
Fe 0.0000 0.0000 0.0000
Fe 0.0000 0.0000 2.4725
```

calculated volume = 16.6 A^3/atom
SG = P6_3/mmc (194)
formation energy without anion corrections = -0.0295 eV/atom

DFT (PBEsol) results for a relaxed structure of MgPb3.

Geometry as extended XYZ:
```
16
Lattice="6.7504 0.0000 0.0000 0.0000 6.8610 0.0000 0.0000 0.0000 9.6351" Properties=species:S:1:pos:R:3 pbc="T T T"
Mg 0.0066 6.8589 2.4088
Mg 3.3687 3.4284 7.2264
Mg 3.3818 3.4326 2.4088
Mg 6.7439 0.0021 7.2264
Pb 0.0034 3.6779 2.4088
Pb 3.3719 0.2474 7.2264
Pb 3.3786 6.6136 2.4088
Pb 6.7471 3.1831 7.2264
Pb 1.6969 1.7247 0.1843
Pb 1.6783 5.1552 9.4508
Pb 5.0721 1.7058 4.6332
Pb 5.0536 5.1363 5.0019
Pb 5.0536 5.1363 9.4508
Pb 5.0721 1.7058 0.1843
Pb 1.6783 5.1552 5.0019
Pb 1.6969 1.7247 4.6332
```

calculated volume = 27.9 A^3/atom
SG = Pnma (62)
total DFT energy (no corrections) = -3.452 eV/atom

DFT (PBEsol) results for a relaxed structure of HfTlSN2.

Geometry as extended XYZ:
```
5
Lattice="4.0842 0.0000 0.0000 0.0000 4.0842 0.0000 0.0000 0.0000 5.2856" Properties=species:S:1:pos:R:3 pbc="T T T"
Tl 2.0421 2.0421 2.6428
Hf 0.0000 0.0000 0.0000
S 0.0000 0.0000 2.6428
N 0.0000 2.0421 0.0000
N 2.0421 0.0000 0.0000
```

calculated volume = 17.6 A^3/atom
SG = P4/mmm (123)
formation energy without anion corrections = 0.0307 eV/atom

DFT (PBEsol) results for a relaxed structure of TlRe2Cl.

Geometry as extended XYZ:
```
4
Lattice="3.6114 -0.0363 0.0000 -0.3064 4.6111 0.0000 0.0000 0.0000 4.9724" Properties=species:S:1:pos:R:3 pbc="T T T"
Re 0.9911 0.7754 0.0000
Re 2.3138 3.7994 0.0000
Tl 0.0000 0.0000 2.4862
Cl 1.6525 2.2874 2.4862
```

calculated volume = 20.7 A^3/atom
SG = P2/m (10)
formation energy without anion corrections = 1.1049 eV/atom
polymorph energy (0 for the lowest one) = 0.000 eV per atom

DFT (PBEsol) results for a relaxed structure of LiAg2Bi2.

Geometry as extended XYZ:
```
10
Lattice="-2.9742 -1.5633 -0.9365 3.4714 -7.3876 1.3071 -2.5693 0.1825 7.8550" Properties=species:S:1:pos:R:3 pbc="T T T"
Bi -0.9900 -2.2626 6.9206
Bi 1.1398 -5.9843 6.3694
Bi 1.8920 -4.9425 2.2414
Bi -0.2377 -1.2207 2.7927
Ag -2.6605 -1.5787 4.5888
Ag -1.5760 -5.2262 7.2330
Ag 0.5884 -7.1896 3.6367
Ag -0.4962 -3.5421 0.9926
Li 0.0000 0.0000 0.0000
Li 0.4510 -3.6025 4.5810
```

calculated volume = 23.8 A^3/atom
SG = P4/mbm (127)
total DFT energy (no corrections) = -3.420 eV/atom

DFT (PBEsol) results for a relaxed structure of Zr2AlBr.

Geometry as extended XYZ:
```
4
Lattice="3.2230 0.0000 0.0000 0.0000 5.5194 0.0000 -1.6115 -2.7597 4.6142" Properties=species:S:1:pos:R:3 pbc="T T T"
Br 0.0000 2.7597 0.0000
Zr 1.6115 2.7597 2.2110
Zr 0.0000 0.0000 2.4032
Al 1.6115 0.0000 0.0000
```

calculated volume = 20.5 A^3/atom
SG = Immm (71)
formation energy without anion corrections = -0.2063 eV/atom
polymorph energy (0 for the lowest one) = 0.048 eV per atom

DFT (PBEsol) results for a relaxed structure of Mg2MoAs.

Geometry as extended XYZ:
```
4
Lattice="-2.1751 1.6418 -0.8096 -1.5889 -2.6583 3.8690 1.8946 3.8820 2.7822" Properties=species:S:1:pos:R:3 pbc="T T T"
As -1.9297 0.9880 2.1967
Mg -1.8918 2.8184 5.8065
Mg 0.1096 1.9941 3.7491
Mo -1.7560 0.0338 4.7863
```

calculated volume = 17.2 A^3/atom
SG = Cm (8)
total DFT energy (no corrections) = -4.938 eV/atom

DFT (PBEsol) results for a relaxed structure of Tb2Al17.

Geometry as extended XYZ:
```
38
Lattice="-7.1112 -1.4494 5.0137 4.7101 -6.6161 4.7680 0.2232 8.9554 2.9055" Properties=species:S:1:pos:R:3 pbc="T T T"
Al -3.1795 -2.7288 8.6550
Al -1.1195 3.1864 5.5274
Al 1.0015 3.6187 4.0321
Al -1.0585 -2.2965 7.1597
Al 2.4666 1.1696 3.8367
Al 0.1116 4.4777 1.4528
Al 2.3550 -3.3081 2.3840
Al -1.0890 0.4449 6.3436
Al -3.4440 3.7530 3.9596
Al -1.2006 -4.0328 4.8908
Al -2.0207 0.1478 8.8159
Al -0.7292 -4.5256 9.2966
Al -3.6070 -3.1602 5.6096
Al -0.1573 0.7420 3.8712
Al -1.4488 5.4155 3.3905
Al 1.4290 4.0501 7.0775
Al -1.5176 2.6528 2.4941
Al 1.3646 1.4637 6.2384
Al -0.0240 6.0911 5.6066
Al -0.6604 -1.7630 10.1930
Al -3.5426 -0.5738 6.4487
Al -2.1540 -5.2013 7.0805
Al 3.8043 -4.1021 4.5839
Al 1.4072 -0.7350 2.1573
Al 3.9178 0.4555 6.0626
Al -2.7693 5.6468 5.8380
Al -0.3722 2.2797 8.2645
Al -2.8829 1.0892 4.3593
Al -3.5852 1.6249 10.5298
Al -5.9823 4.9920 8.1032
Al -6.0958 0.4343 6.6246
Al -1.8058 -1.3899 4.4226
Al 0.5913 -4.7570 6.8491
Al 0.7049 -0.1993 8.3278
Tb -5.3334 -1.0871 3.7602
Tb -1.7778 -0.3624 1.2534
Tb 1.4366 -1.7880 5.4005
Tb -3.6146 2.6778 7.2866
```

calculated volume = 17.8 A^3/atom
SG = P6_3/mmc (194)
total DFT energy (no corrections) = -4.290 eV/atom

DFT (PBEsol) results for a relaxed structure of InCoTc2Bi.

Geometry as extended XYZ:
```
5
Lattice="4.5990 0.0000 0.0000 0.0000 4.9609 0.0000 0.0000 0.0000 4.9609" Properties=species:S:1:pos:R:3 pbc="T T T"
Tc 0.0000 0.0000 2.4804
Tc 0.0000 2.4804 0.0000
Co 2.2995 0.0000 0.0000
Bi 0.0000 0.0000 0.0000
In 2.2995 2.4804 2.4804
```

calculated volume = 22.6 A^3/atom
SG = P4/mmm (123)
total DFT energy (no corrections) = -5.569 eV/atom

DFT (PBEsol) results for a relaxed structure of KTcI2O.

Geometry as extended XYZ:
```
5
Lattice="4.4228 0.0000 0.0000 0.0000 6.0527 0.0000 0.0000 0.0000 6.0527" Properties=species:S:1:pos:R:3 pbc="T T T"
I 0.0000 0.0000 3.0264
I 0.0000 3.0264 0.0000
K 0.0000 0.0000 0.0000
Tc 2.2114 3.0264 3.0264
O 2.2114 0.0000 0.0000
```

calculated volume = 32.4 A^3/atom
SG = P4/mmm (123)
formation energy without anion corrections = 1.0877 eV/atom

DFT (PBEsol) results for a relaxed structure of RbCuF2.

Geometry as extended XYZ:
```
4
Lattice="4.1447 0.0000 0.0000 2.0723 3.5894 0.0000 2.0723 1.1965 6.2786" Properties=species:S:1:pos:R:3 pbc="T T T"
Rb 4.1447 2.3929 3.1393
Cu 0.0000 0.0000 0.0000
F 6.2170 3.5894 1.7852
F 2.0723 1.1965 4.4934
```

calculated volume = 23.4 A^3/atom
SG = R-3m (166)
formation energy without anion corrections = -1.8525 eV/atom

DFT (PBEsol) results for a relaxed structure of MgCu2Ir.

Geometry as extended XYZ:
```
4
Lattice="3.0660 0.0000 0.0000 0.0000 4.1555 -0.0670 -1.5330 -2.0318 4.1621" Properties=species:S:1:pos:R:3 pbc="T T T"
Cu 1.5330 2.1224 4.0146
Cu 0.0000 2.1024 2.1134
Ir 1.5330 2.0775 0.0229
Mg 1.5330 0.0229 2.0059
```

calculated volume = 13.2 A^3/atom
SG = Cm (8)
total DFT energy (no corrections) = -5.091 eV/atom

DFT (PBEsol) results for a relaxed structure of Cs2SnPt.

Geometry as extended XYZ:
```
4
Lattice="5.7795 0.0000 0.0000 2.8897 5.0052 0.0000 2.8897 1.6684 4.7189" Properties=species:S:1:pos:R:3 pbc="T T T"
Cs 2.8897 1.6684 1.1797
Cs 8.6692 5.0052 3.5392
Sn 0.0000 0.0000 0.0000
Pt 5.7795 3.3368 2.3595
```

calculated volume = 34.1 A^3/atom
SG = Fm-3m (225)
total DFT energy (no corrections) = -2.701 eV/atom

DFT (PBEsol) results for a relaxed structure of Cs2NaScBr6.

Geometry as extended XYZ:
```
10
Lattice="-0.4279 2.0455 7.4760 -1.1898 -5.4068 5.4413 5.7220 -1.9180 4.8823" Properties=species:S:1:pos:R:3 pbc="T T T"
Cs 3.0783 -3.9595 13.3497
Cs 1.0261 -1.3198 4.4499
Sc 0.0000 0.0000 0.0000
Br 3.3462 -5.0843 9.6427
Br 0.7581 -0.1951 8.1568
Br 3.9670 -2.2631 6.8035
Br 3.7437 -1.1958 10.7043
Br 0.3606 -4.0835 7.0952
Br 0.1373 -3.0162 10.9960
Na 2.0522 -2.6397 8.8998
```

calculated volume = 33.1 A^3/atom
SG = Fm-3m (225)
formation energy without anion corrections = -1.7632 eV/atom

DFT (PBEsol) results for a relaxed structure of CrAgOs2.

Geometry as extended XYZ:
```
4
Lattice="-0.5832 2.2114 1.4314 1.8957 -1.9572 3.7960 3.8153 1.0520 -2.6136" Properties=species:S:1:pos:R:3 pbc="T T T"
Ag 0.9478 -0.9786 1.8980
Cr -0.2916 1.1057 0.7157
Os 2.0462 0.5504 -0.0166
Os 3.0815 0.7559 2.6305
```

calculated volume = 14.0 A^3/atom
SG = C2/m (12)
polymorph energy (0 for the lowest one) = 0.152 eV per atom

DFT (PBEsol) results for a relaxed structure of TaMn2Zn.

Geometry as extended XYZ:
```
4
Lattice="-0.2982 0.1711 2.7271 2.5481 -0.9733 0.3397 2.4571 6.3863 -0.1320" Properties=species:S:1:pos:R:3 pbc="T T T"
Mn 0.0745 0.1937 -0.0040
Mn 1.6187 0.8823 1.5069
Ta 1.1946 3.1049 -0.0642
Zn 3.0476 4.5963 1.4301
```

calculated volume = 12.9 A^3/atom
SG = P4mm (99)
total DFT energy (no corrections) = -8.380 eV/atom

DFT (PBEsol) results for a relaxed structure of KZrP2.

Geometry as extended XYZ:
```
4
Lattice="-1.1067 1.0338 4.4944 -3.4939 -1.0392 -3.1236 -2.3286 -4.1148 0.3731" Properties=species:S:1:pos:R:3 pbc="T T T"
K 0.0000 0.0000 0.0000
P -2.6058 -1.2899 -0.3450
P -4.3234 -2.8304 2.0888
Zr -1.7176 -1.5405 2.4337
```

calculated volume = 19.3 A^3/atom
SG = I4/mmm (139)
polymorph energy (0 for the lowest one) = 0.084 eV per atom

DFT (PBEsol) results for a relaxed structure of TaMn2Tc.

Geometry as extended XYZ:
```
4
Lattice="-1.7477 3.7269 -0.8045 -1.9002 2.1321 3.0716 1.7429 3.5034 1.5100" Properties=species:S:1:pos:R:3 pbc="T T T"
Mn -1.4288 7.0217 2.8328
Mn -0.4763 2.3406 0.9443
Ta -0.9525 4.6811 1.8885
Tc 0.0000 0.0000 0.0000
```

calculated volume = 13.0 A^3/atom
SG = Fm-3m (225)
polymorph energy (0 for the lowest one) = 0.000 eV per atom

DFT (PBEsol) results for a relaxed structure of Na2Zn2O3.

Geometry as extended XYZ:
```
28
Lattice="-0.6757 -6.0542 -0.9863 3.1855 0.5017 -5.2615 7.9838 -1.6529 4.6760" Properties=species:S:1:pos:R:3 pbc="T T T"
Na 6.3456 -5.3175 -0.5286
Na 3.2859 -6.3790 -0.4026
Na 7.3186 -4.1086 2.2040
Na 2.4716 -1.5408 -2.0250
Na 9.5232 -1.3058 0.1870
Na 0.4366 -4.7187 -0.4300
Na 4.8512 -3.4438 -2.7941
Na 7.7414 -2.0073 -2.4980
Zn 6.1857 -2.3416 0.2229
Zn 5.2920 -0.4909 -2.3201
Zn 3.5864 -3.2674 0.0015
Zn 4.7020 -5.6093 1.9918
Zn 3.9607 -1.2170 -4.6359
Zn 9.0683 -4.3854 -0.3076
Zn 7.0324 -7.0935 1.8205
Zn 2.1468 -4.4164 -3.0605
O 7.9252 -2.8571 -0.3726
O 4.7288 -1.8812 -1.0384
O 2.8238 -2.7134 -4.0351
O 8.2815 -5.8452 0.9405
O 2.5684 -4.3482 -1.1993
O 2.9560 -5.8563 -4.1396
O 6.0581 -5.3975 -2.8055
O 5.1531 -3.9709 0.9892
O 6.0623 -1.0437 1.7038
O 2.6046 -2.1204 1.2717
O 9.3642 -5.3903 -1.9796
O 0.4436 -0.9814 -1.1043
```

calculated volume = 12.8 A^3/atom
SG = P4_32_12 (96)
formation energy without anion corrections = -1.4086 eV/atom
polymorph energy (0 for the lowest one) = 0.000 eV per atom

DFT (PBEsol) results for a relaxed structure of Ni2H.

Geometry as extended XYZ:
```
3
Lattice="-1.0548 1.9948 -1.1187 -1.8752 1.2370 1.1387 1.7673 3.5536 1.8352" Properties=species:S:1:pos:R:3 pbc="T T T"
Ni -0.8487 5.1101 1.4069
Ni -0.3140 1.6753 0.4483
H -0.5813 3.3927 0.9276
```

calculated volume = 7.6 A^3/atom
SG = R-3m (166)
total DFT energy (no corrections) = -5.265 eV/atom

DFT (PBEsol) results for a relaxed structure of NaLaNb2H.

Geometry as extended XYZ:
```
5
Lattice="4.7167 0.0000 0.0000 0.0000 4.7167 0.0000 0.0000 0.0000 5.6319" Properties=species:S:1:pos:R:3 pbc="T T T"
Na 0.0000 0.0000 0.0000
Nb 0.0000 2.3583 0.0000
Nb 2.3583 0.0000 0.0000
H 2.3583 2.3583 2.8159
La 0.0000 0.0000 2.8159
```

calculated volume = 25.1 A^3/atom
SG = P4/mmm (123)
total DFT energy (no corrections) = -3.974 eV/atom

DFT (PBEsol) results for a relaxed structure of MnRuRh.

Geometry as extended XYZ:
```
3
Lattice="2.6135 0.0000 0.0000 -1.3068 2.2634 0.0000 0.0000 0.0000 6.3321" Properties=species:S:1:pos:R:3 pbc="T T T"
Mn 0.0000 0.0000 0.0324
Rh 0.0000 1.5089 4.2962
Ru 1.3068 0.7545 2.0035
```

calculated volume = 12.5 A^3/atom
SG = P3m1 (156)
polymorph energy (0 for the lowest one) = 0.000 eV per atom

DFT (PBEsol) results for a relaxed structure of ZrPt2W.

Geometry as extended XYZ:
```
4
Lattice="-1.0450 -2.6242 -0.2019 1.6830 -2.2327 0.4490 -1.9836 -1.4445 9.1826" Properties=species:S:1:pos:R:3 pbc="T T T"
Pt -0.3616 -1.5733 2.4621
Pt -0.9839 -4.7280 6.9676
W -0.6728 -3.1507 4.7149
Zr 0.0000 0.0000 0.0000
```

calculated volume = 16.3 A^3/atom
SG = R-3m (166)
total DFT energy (no corrections) = -9.438 eV/atom